Material: Dy2LuFe8Co
Method: DFT, GGA-PBE
State: optimized geometry

a b c (Å): 8.584 8.584 8.584
angles (deg): 34.09 34.09 34.09
Positions (direct):
Dy: 0.142 0.142 0.142
Dy: 0.858 0.858 0.858
Lu: 0.000 0.000 0.000
Fe: 0.081 0.581 0.581
Fe: 0.333 0.333 0.333
Fe: 0.419 0.419 0.919
Fe: 0.419 0.919 0.419
Fe: 0.581 0.081 0.581
Fe: 0.581 0.581 0.081
Fe: 0.667 0.667 0.667
Fe: 0.919 0.419 0.419
Co: 0.500 0.500 0.500

Values from the calculation:
For the final energy, the calculation gives -88.64 eV for the cell shown. The formation energy is -1.33 eV/f.u.